The following is a DFT calculation (GGA+U) of V3CuO8 after structural relaxation.

Values from the calculation:
E_tot ... -7.09 eV/atom
Crystal system ... cubic
Total magnetization ... 0.15 μB/cell

Lattice parameters (Å, degrees): 8.301 8.301 8.301 90.00 90.00 90.00
Positions (direct):
V: 0.117 0.373 0.374
V: 0.126 0.883 0.873
V: 0.127 0.626 0.617
V: 0.373 0.374 0.117
V: 0.374 0.117 0.373
V: 0.383 0.627 0.874
V: 0.617 0.127 0.626
V: 0.626 0.617 0.127
V: 0.627 0.874 0.383
V: 0.873 0.126 0.883
V: 0.874 0.383 0.627
V: 0.883 0.873 0.126
Cu: 0.003 0.997 0.497
Cu: 0.497 0.003 0.997
Cu: 0.503 0.503 0.503
Cu: 0.997 0.497 0.003
O: 0.093 0.863 0.103
O: 0.103 0.093 0.863
O: 0.111 0.845 0.643
O: 0.114 0.386 0.614
O: 0.134 0.634 0.866
O: 0.137 0.603 0.407
O: 0.143 0.389 0.155
O: 0.155 0.143 0.389
O: 0.345 0.857 0.889
O: 0.357 0.611 0.655
O: 0.363 0.397 0.907
O: 0.366 0.366 0.366
O: 0.386 0.614 0.114
O: 0.389 0.155 0.143
O: 0.397 0.907 0.363
O: 0.407 0.137 0.603
O: 0.593 0.637 0.897
O: 0.603 0.407 0.137
O: 0.611 0.655 0.357
O: 0.614 0.114 0.386
O: 0.634 0.866 0.134
O: 0.637 0.897 0.593
O: 0.643 0.111 0.845
O: 0.655 0.357 0.611
O: 0.845 0.643 0.111
O: 0.857 0.889 0.345
O: 0.863 0.103 0.093
O: 0.866 0.134 0.634
O: 0.886 0.886 0.886
O: 0.889 0.345 0.857
O: 0.897 0.593 0.637
O: 0.907 0.363 0.397